This record from Alexandria via LeMat-Bulk describes an optimized crystal structure of Tb3DyTl3Te8. The functional is PBE.

Properties
calculated volume: 550.68 Å³/f.u.
calculated total energy: -133.16 eV/cell
ρ: 6.85 g cm⁻³
formation energy (no corrections): -15.86 eV per formula unit

```
data_Tb3DyTl3Te8
_chemical_formula_sum 'Tb6 Dy2 Tl6 Te16'
_space_group_name_H-M_alt 'C 1 2/m 1'
_space_group_IT_number 12
_cell_length_a 15.2800
_cell_length_b 8.8066
_cell_length_c 9.6436
_cell_angle_alpha 90.00
_cell_angle_beta 121.93
_cell_angle_gamma 90.00
loop_
_space_group_symop_operation_xyz
'x,y,z'
'-x,-y,-z'
'-x,y,-z'
'x,-y,z'
'x+1/2,y+1/2,z'
'-x+1/2,-y+1/2,-z'
'-x+1/2,y+1/2,-z'
'x+1/2,-y+1/2,z'
loop_
_atom_site_label
_atom_site_type_symbol
_atom_site_fract_x
_atom_site_fract_y
_atom_site_fract_z
Tb1 Tb 0.0000 0.0000 0.0000
Tb2 Tb 0.2500 0.2500 0.0000
Dy1 Dy 0.0000 0.5000 0.0000
Tl1 Tl 0.0000 0.5000 0.5000
Tl2 Tl 0.2500 0.2500 0.5000
Te1 Te 0.0116 0.2495 0.7844
Te2 Te 0.2390 0.0000 0.2169
Te3 Te 0.2388 0.5000 0.2156
```

---

This record from Alexandria via LeMat-Bulk describes an optimized crystal structure of TbDy2Tl3Te6. The functional is PBE.

Properties
calculated volume: 422.25 Å³/f.u.
calculated total energy: -104.91 eV/cell
ρ: 7.33 g cm⁻³
formation energy (no corrections): -12.67 eV per formula unit

```
data_TbDy2Tl3Te6
_chemical_formula_sum 'Tb2 Dy4 Tl6 Te12'
_space_group_name_H-M_alt 'C 1 2/m 1'
_space_group_IT_number 12
_cell_length_a 7.7170
_cell_length_b 13.3654
_cell_length_c 8.5826
_cell_angle_alpha 90.00
_cell_angle_beta 107.45
_cell_angle_gamma 90.00
loop_
_space_group_symop_operation_xyz
'x,y,z'
'-x,-y,-z'
'-x,y,-z'
'x,-y,z'
'x+1/2,y+1/2,z'
'-x+1/2,-y+1/2,-z'
'-x+1/2,y+1/2,-z'
'x+1/2,-y+1/2,z'
loop_
_atom_site_label
_atom_site_type_symbol
_atom_site_fract_x
_atom_site_fract_y
_atom_site_fract_z
Tb1 Tb 0.0000 0.0000 0.0000
Dy1 Dy 0.0000 0.3333 0.0000
Tl1 Tl 0.0000 0.1664 0.5000
Tl2 Tl 0.0000 0.5000 0.5000
Te1 Te 0.2368 0.5000 0.2133
Te2 Te 0.2384 0.1672 0.2136
```

---

This record from Alexandria via LeMat-Bulk describes an optimized crystal structure of Tb2DyTmTe5. The functional is PBE.

Properties
calculated volume: 346.40 Å³/f.u.
calculated total energy: -40.22 eV/cell
ρ: 6.17 g cm⁻³
formation energy (no corrections): -6.18 eV per formula unit

```
data_Tb2DyTmTe5
_chemical_formula_sum 'Tb2 Dy1 Tm1 Te5'
_space_group_name_H-M_alt 'P 4/m m m'
_space_group_IT_number 123
_space_group_name_Hall '-P 4 2'
_cell_length_a 5.4887
_cell_length_b 5.4887
_cell_length_c 11.4984
_cell_angle_alpha 90.00
_cell_angle_beta 90.00
_cell_angle_gamma 90.00
loop_
_atom_site_label
_atom_site_type_symbol
_atom_site_fract_x
_atom_site_fract_y
_atom_site_fract_z
Tb1 Tb 0.0000 0.0000 0.1532
Dy1 Dy 0.5000 0.5000 0.5000
Tm1 Tm 0.5000 0.5000 0.0000
Te1 Te 0.0000 0.0000 0.5000
Te2 Te 0.0000 0.5000 0.0000
Te3 Te 0.5000 0.5000 0.2529
```

---

This record from Alexandria via LeMat-Bulk describes an optimized crystal structure of TbDy2TmTe5. The functional is PBE.

Properties
calculated volume: 347.25 Å³/f.u.
calculated total energy: -40.04 eV/cell
ρ: 6.17 g cm⁻³
formation energy (no corrections): -6.03 eV per formula unit

```
data_TbDy2TmTe5
_chemical_formula_sum 'Tb1 Dy2 Tm1 Te5'
_space_group_name_H-M_alt 'P 4/m m m'
_space_group_IT_number 123
_space_group_name_Hall '-P 4 2'
_cell_length_a 5.4897
_cell_length_b 5.4897
_cell_length_c 11.5224
_cell_angle_alpha 90.00
_cell_angle_beta 90.00
_cell_angle_gamma 90.00
loop_
_atom_site_label
_atom_site_type_symbol
_atom_site_fract_x
_atom_site_fract_y
_atom_site_fract_z
Tb1 Tb 0.0000 0.0000 0.0000
Dy1 Dy 0.5000 0.5000 0.3485
Tm1 Tm 0.0000 0.0000 0.5000
Te1 Te 0.0000 0.0000 0.2477
Te2 Te 0.0000 0.5000 0.5000
Te3 Te 0.5000 0.5000 0.0000
```

---

This record from Alexandria via LeMat-Bulk describes an optimized crystal structure of TbDy2Tm3Te6. The functional is PBE.

Properties
calculated volume: 344.31 Å³/f.u.
calculated total energy: -121.71 eV/cell
ρ: 8.47 g cm⁻³
formation energy (no corrections): -14.75 eV per formula unit

```
data_TbDy2Tm3Te6
_chemical_formula_sum 'Tb2 Dy4 Tm6 Te12'
_space_group_name_H-M_alt 'C 1 2/m 1'
_space_group_IT_number 12
_cell_length_a 18.9389
_cell_length_b 4.3067
_cell_length_c 8.7106
_cell_angle_alpha 90.00
_cell_angle_beta 104.24
_cell_angle_gamma 90.00
loop_
_space_group_symop_operation_xyz
'x,y,z'
'-x,-y,-z'
'-x,y,-z'
'x,-y,z'
'x+1/2,y+1/2,z'
'-x+1/2,-y+1/2,-z'
'-x+1/2,y+1/2,-z'
'x+1/2,-y+1/2,z'
loop_
_atom_site_label
_atom_site_type_symbol
_atom_site_fract_x
_atom_site_fract_y
_atom_site_fract_z
Tb1 Tb 0.0000 0.0000 0.0000
Dy1 Dy 0.1659 0.5000 0.3319
Tm1 Tm 0.0000 0.0000 0.5000
Tm2 Tm 0.1660 0.5000 0.8332
Te1 Te 0.0011 0.5000 0.7460
Te2 Te 0.1659 0.0000 0.5858
Te3 Te 0.1685 0.0000 0.0806
```

---

This record from Alexandria via LeMat-Bulk describes an optimized crystal structure of TbDy2TmTe6. The functional is PBE.

Properties
calculated volume: 357.64 Å³/f.u.
calculated total energy: -152.13 eV/cell
ρ: 6.59 g cm⁻³
formation energy (no corrections): -13.56 eV per formula unit

```
data_TbDy2TmTe6
_chemical_formula_sum 'Tb3 Dy6 Tm3 Te18'
_space_group_name_H-M_alt 'R 3'
_space_group_IT_number 146
_space_group_name_Hall 'R 3'
_cell_length_a 7.6746
_cell_length_b 7.6746
_cell_length_c 21.0342
_cell_angle_alpha 90.00
_cell_angle_beta 90.00
_cell_angle_gamma 120.00
loop_
_atom_site_label
_atom_site_type_symbol
_atom_site_fract_x
_atom_site_fract_y
_atom_site_fract_z
Tb1 Tb 0.0000 0.0000 0.0000
Dy1 Dy 0.0000 0.0000 0.3138
Dy2 Dy 0.0000 0.0000 0.8143
Tm1 Tm 0.0000 0.0000 0.4993
Te1 Te 0.9999 0.6880 0.4078
Te2 Te 0.0192 0.3489 0.5734
```

---

This record from Alexandria via LeMat-Bulk describes an optimized crystal structure of Tb2DyTmTe6. The functional is PBE.

Properties
calculated volume: 358.81 Å³/f.u.
calculated total energy: -152.27 eV/cell
ρ: 6.55 g cm⁻³
formation energy (no corrections): -13.57 eV per formula unit

```
data_Tb2DyTmTe6
_chemical_formula_sum 'Tb6 Dy3 Tm3 Te18'
_space_group_name_H-M_alt 'R 3'
_space_group_IT_number 146
_space_group_name_Hall 'R 3'
_cell_length_a 7.6844
_cell_length_b 7.6844
_cell_length_c 21.0481
_cell_angle_alpha 90.00
_cell_angle_beta 90.00
_cell_angle_gamma 120.00
loop_
_atom_site_label
_atom_site_type_symbol
_atom_site_fract_x
_atom_site_fract_y
_atom_site_fract_z
Tb1 Tb 0.0000 0.0000 0.0000
Tb2 Tb 0.0000 0.0000 0.4996
Dy1 Dy 0.0000 0.0000 0.3139
Tm1 Tm 0.0000 0.0000 0.8143
Te1 Te 0.0040 0.6896 0.9054
Te2 Te 0.0065 0.3186 0.4062
```

---

This record from Alexandria via LeMat-Bulk describes an optimized crystal structure of TbDy3Tm2Te6. The functional is PBE.

Properties
calculated volume: 346.37 Å³/f.u.
calculated total energy: -122.40 eV/cell
ρ: 8.39 g cm⁻³
formation energy (no corrections): -14.97 eV per formula unit

```
data_TbDy3Tm2Te6
_chemical_formula_sum 'Tb2 Dy6 Tm4 Te12'
_space_group_name_H-M_alt 'C 1 2/m 1'
_space_group_IT_number 12
_cell_length_a 18.9283
_cell_length_b 4.3158
_cell_length_c 8.7210
_cell_angle_alpha 90.00
_cell_angle_beta 103.50
_cell_angle_gamma 90.00
loop_
_space_group_symop_operation_xyz
'x,y,z'
'-x,-y,-z'
'-x,y,-z'
'x,-y,z'
'x+1/2,y+1/2,z'
'-x+1/2,-y+1/2,-z'
'-x+1/2,y+1/2,-z'
'x+1/2,-y+1/2,z'
loop_
_atom_site_label
_atom_site_type_symbol
_atom_site_fract_x
_atom_site_fract_y
_atom_site_fract_z
Tb1 Tb 0.0000 0.0000 0.0000
Dy1 Dy 0.0000 0.0000 0.5000
Dy2 Dy 0.1632 0.5000 0.8325
Tm1 Tm 0.1647 0.5000 0.3301
Te1 Te 0.0019 0.5000 0.2523
Te2 Te 0.1687 0.0000 0.0870
Te3 Te 0.1687 0.0000 0.5803
```

---

This record from Alexandria via LeMat-Bulk describes an optimized crystal structure of Tb2Dy3TmTe6. The functional is PBE.

Properties
calculated volume: 349.22 Å³/f.u.
calculated total energy: -123.29 eV/cell
ρ: 8.27 g cm⁻³
formation energy (no corrections): -15.26 eV per formula unit

```
data_Tb2Dy3TmTe6
_chemical_formula_sum 'Tb4 Dy6 Tm2 Te12'
_space_group_name_H-M_alt 'C 1 2/m 1'
_space_group_IT_number 12
_cell_length_a 18.9429
_cell_length_b 4.3291
_cell_length_c 8.7404
_cell_angle_alpha 90.00
_cell_angle_beta 102.98
_cell_angle_gamma 90.00
loop_
_space_group_symop_operation_xyz
'x,y,z'
'-x,-y,-z'
'-x,y,-z'
'x,-y,z'
'x+1/2,y+1/2,z'
'-x+1/2,-y+1/2,-z'
'-x+1/2,y+1/2,-z'
'x+1/2,-y+1/2,z'
loop_
_atom_site_label
_atom_site_type_symbol
_atom_site_fract_x
_atom_site_fract_y
_atom_site_fract_z
Tb1 Tb 0.1691 0.0000 0.3357
Dy1 Dy 0.0000 0.5000 0.5000
Dy2 Dy 0.1702 0.0000 0.8331
Tm1 Tm 0.0000 0.5000 0.0000
Te1 Te 0.0009 0.0000 0.7540
Te2 Te 0.1638 0.5000 0.0803
Te3 Te 0.1651 0.5000 0.5835
```

---

This record from Alexandria via LeMat-Bulk describes an optimized crystal structure of TbDy3Tm3Te8. The functional is PBE.

Properties
calculated volume: 453.75 Å³/f.u.
calculated total energy: -230.68 eV/cell
ρ: 7.96 g cm⁻³
formation energy (no corrections): -19.91 eV per formula unit

```
data_TbDy3Tm3Te8
_chemical_formula_sum 'Tb3 Dy9 Tm9 Te24'
_space_group_name_H-M_alt 'R -3 m'
_space_group_IT_number 166
_space_group_name_Hall '-R 3 2"'
_cell_length_a 8.6272
_cell_length_b 8.6272
_cell_length_c 21.1190
_cell_angle_alpha 90.00
_cell_angle_beta 90.00
_cell_angle_gamma 120.00
loop_
_atom_site_label
_atom_site_type_symbol
_atom_site_fract_x
_atom_site_fract_y
_atom_site_fract_z
Tb1 Tb 0.0000 0.0000 0.0000
Dy1 Dy 0.0000 0.5000 0.5000
Tm1 Tm 0.0000 0.5000 0.0000
Te1 Te 0.0000 0.0000 0.2515
Te2 Te 0.0119 0.5060 0.2485
```

---

This record from Alexandria via LeMat-Bulk describes an optimized crystal structure of Tb2Dy3YTe6. The functional is PBE.

Properties
calculated volume: 352.15 Å³/f.u.
calculated total energy: -127.83 eV/cell
ρ: 7.83 g cm⁻³
formation energy (no corrections): -15.53 eV per formula unit

```
data_Tb2Dy3YTe6
_chemical_formula_sum 'Tb4 Dy6 Y2 Te12'
_space_group_name_H-M_alt 'C 1 2/m 1'
_space_group_IT_number 12
_cell_length_a 19.0053
_cell_length_b 4.3460
_cell_length_c 8.7612
_cell_angle_alpha 90.00
_cell_angle_beta 103.28
_cell_angle_gamma 90.00
loop_
_space_group_symop_operation_xyz
'x,y,z'
'-x,-y,-z'
'-x,y,-z'
'x,-y,z'
'x+1/2,y+1/2,z'
'-x+1/2,-y+1/2,-z'
'-x+1/2,y+1/2,-z'
'x+1/2,-y+1/2,z'
loop_
_atom_site_label
_atom_site_type_symbol
_atom_site_fract_x
_atom_site_fract_y
_atom_site_fract_z
Tb1 Tb 0.1671 0.0000 0.3334
Dy1 Dy 0.0000 0.5000 0.5000
Dy2 Dy 0.1671 0.0000 0.8326
Y1 Y 0.0000 0.5000 0.0000
Te1 Te 0.9996 0.0000 0.2504
Te2 Te 0.1661 0.5000 0.5837
Te3 Te 0.1667 0.5000 0.0816
```

---

This record from Alexandria via LeMat-Bulk describes an optimized crystal structure of TbDy2Y3Te6. The functional is PBE.

Properties
calculated volume: 352.29 Å³/f.u.
calculated total energy: -135.35 eV/cell
ρ: 7.15 g cm⁻³
formation energy (no corrections): -15.60 eV per formula unit

```
data_TbDy2Y3Te6
_chemical_formula_sum 'Tb2 Dy4 Y6 Te12'
_space_group_name_H-M_alt 'C 1 2/m 1'
_space_group_IT_number 12
_cell_length_a 19.0096
_cell_length_b 4.3466
_cell_length_c 8.7620
_cell_angle_alpha 90.00
_cell_angle_beta 103.30
_cell_angle_gamma 90.00
loop_
_space_group_symop_operation_xyz
'x,y,z'
'-x,-y,-z'
'-x,y,-z'
'x,-y,z'
'x+1/2,y+1/2,z'
'-x+1/2,-y+1/2,-z'
'-x+1/2,y+1/2,-z'
'x+1/2,-y+1/2,z'
loop_
_atom_site_label
_atom_site_type_symbol
_atom_site_fract_x
_atom_site_fract_y
_atom_site_fract_z
Tb1 Tb 0.0000 0.0000 0.0000
Dy1 Dy 0.1660 0.5000 0.3323
Y1 Y 0.0000 0.0000 0.5000
Y2 Y 0.1659 0.5000 0.8334
Te1 Te 0.0003 0.5000 0.2507
Te2 Te 0.1672 0.0000 0.0841
Te3 Te 0.1672 0.0000 0.5828
```

---

Q: Which value of calculated volume does entry 7 give?
A: 358.81 Å³/f.u.

---

Q: Which formula does entry 6 have?
A: TbDy2TmTe6